No. 1
Crystalline NaTe2Pt at its relaxed geometry, computed with PBE.

Values from the calculation:
* energy above the lowest structure with this stoichiometry: 0.45 eV per formula unit
* E_tot: -3.764 eV per atom
* V: 127 Å³ per cell
* M_tot: 0.00 μB per cell

Lattice parameters (Å, degrees): 9.1755 9.1755 9.1755 25.63 25.63 25.63
Element x y z (fractional)
Na 0.0000 0.0000 0.0000
Te 0.1143 0.1143 0.1143
Te 0.8857 0.8857 0.8857
Pt 0.5000 0.5000 0.5000

No. 2
Crystalline GaP2WCl at its relaxed geometry, computed with PBE.

Values from the calculation:
* energy above the lowest structure with this stoichiometry: 0.00 eV per formula unit
* E_tot: -5.495 eV per atom
* V: 112 Å³ per cell
* M_tot: 0.00 μB per cell

Lattice parameters (Å, degrees): 4.6874 4.6874 5.1082 90.00 90.00 90.00
Element x y z (fractional)
Ga 0.0000 0.0000 0.0000
P 0.0000 0.5000 0.5000
P 0.5000 0.0000 0.5000
W 0.5000 0.5000 0.5000
Cl 0.5000 0.5000 0.0000

No. 3
Crystalline AsPRh2 at its relaxed geometry, computed with PBE.

Values from the calculation:
* energy above the lowest structure with this stoichiometry: 0.84 eV per formula unit
* E_tot: -6.422 eV per atom
* V: 58 Å³ per cell
* M_tot: 0.00 μB per cell
* energy of formation: -232 meV per atom

Lattice parameters (Å, degrees): 2.9324 2.9324 6.7842 90.00 90.00 90.00
Element x y z (fractional)
As 0.0000 0.0000 0.0000
P 0.0000 0.0000 0.5000
Rh 0.5000 0.5000 0.2957
Rh 0.5000 0.5000 0.7043

No. 4
Crystalline Sr4Ge2Ir2C at its relaxed geometry, computed with PBE.

Values from the calculation:
* E_tot: -5.062 eV per atom
* V: 221 Å³ per cell
* M_tot: 0.00 μB per cell
* energy of formation: -294 meV per atom

Lattice parameters (Å, degrees): 6.6526 6.6526 5.5748 101.44 101.44 67.32
Element x y z (fractional)
Sr 0.1336 0.6473 0.7191
Sr 0.3527 0.8664 0.2809
Sr 0.6473 0.1336 0.7191
Sr 0.8664 0.3527 0.2809
Ge 0.1754 0.1754 0.8461
Ge 0.8246 0.8246 0.1539
Ir 0.3619 0.3619 0.2236
Ir 0.6381 0.6381 0.7764
C 0.5000 0.5000 0.5000

No. 5
Crystalline Cs2Rb17Hg2 at its relaxed geometry, computed with PBE.

Values from the calculation:
* E_tot: -0.898 eV per atom
* V: 1858 Å³ per cell
* M_tot: 0.00 μB per cell
* energy of formation: -4 meV per atom

Lattice parameters (Å, degrees): 12.3942 12.3942 12.5275 97.64 97.64 78.56
Element x y z (fractional)
Cs 0.2011 0.2011 0.3781
Cs 0.7989 0.7989 0.6219
Rb 0.0000 0.5000 0.0000
Rb 0.1448 0.6581 0.3552
Rb 0.1586 0.8414 0.0000
Rb 0.1691 0.1691 0.8158
Rb 0.2140 0.5297 0.7284
Rb 0.3419 0.8552 0.6448
Rb 0.4021 0.4021 0.0995
Rb 0.4703 0.7860 0.2716
Rb 0.5000 0.0000 0.0000
Rb 0.5000 0.5000 0.5000
Rb 0.5297 0.2140 0.7284
Rb 0.5979 0.5979 0.9005
Rb 0.6581 0.1448 0.3552
Rb 0.7860 0.4703 0.2716
Rb 0.8309 0.8309 0.1842
Rb 0.8414 0.1586 0.0000
Rb 0.8552 0.3419 0.6448
Hg 0.0000 0.5000 0.5000
Hg 0.5000 0.0000 0.5000

No. 6
Crystalline CdBiAsC2 at its relaxed geometry, computed with PBE.

Values from the calculation:
* E_tot: -3.182 eV per atom
* V: 111 Å³ per cell
* M_tot: 1.20 μB per cell
* energy of formation: 2397 meV per atom

Lattice parameters (Å, degrees): 4.2953 4.2953 6.0271 90.00 90.00 90.00
Element x y z (fractional)
Cd 0.0000 0.0000 0.0000
Bi 0.0000 0.0000 0.5000
As 0.5000 0.5000 0.5000
C 0.0000 0.5000 0.0000
C 0.5000 0.0000 0.0000

Please write out number 4 again, unchanged.
Crystalline Sr4Ge2Ir2C at its relaxed geometry, computed with PBE.

Values from the calculation:
* E_tot: -5.062 eV per atom
* V: 221 Å³ per cell
* M_tot: 0.00 μB per cell
* energy of formation: -294 meV per atom

Lattice parameters (Å, degrees): 6.6526 6.6526 5.5748 101.44 101.44 67.32
Element x y z (fractional)
Sr 0.1336 0.6473 0.7191
Sr 0.3527 0.8664 0.2809
Sr 0.6473 0.1336 0.7191
Sr 0.8664 0.3527 0.2809
Ge 0.1754 0.1754 0.8461
Ge 0.8246 0.8246 0.1539
Ir 0.3619 0.3619 0.2236
Ir 0.6381 0.6381 0.7764
C 0.5000 0.5000 0.5000